Li2CeMgTl4 | GGA-PBE | relaxed

Unit cell a=5.015 b=5.015 c=9.535 alpha=74.75 beta=74.75 gamma=60.00
Fractional coordinates of all 8 atoms:
Tl 0.386 0.386 0.842
Tl 0.875 0.875 0.374
Tl 0.614 0.614 0.158
Tl 0.125 0.125 0.626
Li 0.244 0.244 0.269
Li 0.756 0.756 0.731
Mg 0.500 0.500 0.500
Ce 0.000 0.000 0.000

## Properties
- D(E_F): 8.8 states/eV/cell
- Size of the total moment: 0.99 μB/f.u.
- DFT total energy: -2.79 eV per atom


Tb5Er8Tl | GGA-PBE | relaxed

Unit cell a=8.360 b=8.360 c=8.360 alpha=110.72 beta=107.00 gamma=110.72
Fractional coordinates of all 14 atoms:
Er 0.726 0.252 0.334
Er 0.561 0.900 0.829
Er 0.666 0.392 0.918
Er 0.171 0.731 0.071
Er 0.526 0.608 0.274
Er 0.339 0.269 0.439
Er 0.929 0.100 0.661
Er 0.082 0.748 0.474
Tb 0.289 0.109 0.976
Tb 0.820 0.687 0.711
Tb 0.868 0.891 0.180
Tb 0.024 0.313 0.132
Tb 0.500 0.000 0.500
Tl 0.250 0.500 0.750

## Properties
- D(E_F): 17.1 states/eV/cell
- Size of the total moment: 0.00 μB/f.u.
- DFT total energy: -4.24 eV per atom


PmGaHg2 | GGA-PBE | relaxed

Unit cell a=3.694 b=3.694 c=7.125 alpha=90.00 beta=90.00 gamma=90.00
Fractional coordinates of all 4 atoms:
Ga 0.500 0.500 0.000
Hg 0.000 0.000 0.227
Hg 0.000 0.000 0.773
Pm 0.500 0.500 0.500

## Properties
- D(E_F): 2.7 states/eV/cell
- Size of the total moment: 0.35 μB/f.u.
- DFT total energy: -2.36 eV per atom


InCu2Br6 | GGA-PBE | relaxed

Unit cell a=6.797 b=9.491 c=9.491 alpha=77.65 beta=83.63 gamma=83.63
Fractional coordinates of all 18 atoms:
Br 0.630 0.638 0.130
Br 0.366 0.717 0.529
Br 0.892 0.180 0.033
Br 0.130 0.130 0.638
Br 0.866 0.529 0.717
Br 0.108 0.820 0.967
Br 0.608 0.967 0.820
Br 0.370 0.362 0.870
Br 0.634 0.283 0.471
Br 0.392 0.033 0.180
Br 0.134 0.471 0.283
Br 0.870 0.870 0.362
In 0.750 0.910 0.090
In 0.250 0.090 0.910
Cu 0.786 0.468 0.311
Cu 0.714 0.689 0.532
Cu 0.286 0.311 0.468
Cu 0.214 0.532 0.689

## Properties
- ΔE to the lowest computed polymorph: 0.008 eV/atom
- Formation energy without anion corrections: -496 meV per atom
- D(E_F): 12.7 states/eV/cell
- Size of the total moment: 0.00 μB/f.u.